No. 1
TiCoGe2: optimized geometry, PBE.

Cell lengths 3.9428, 3.9428, 3.6272 Å; angles 90.00, 90.00, 90.00 degrees
Fractional coordinates of all 4 atoms:
Ti: 0.0000 0.0000 0.0000
Co: 0.5000 0.5000 0.0000
Ge: 0.0000 0.5000 0.5000
Ge: 0.5000 0.0000 0.5000

Computed properties:
- N(E_F): 3.49 states/eV per cell
- Calculated total energy: -25.21 eV/cell
- SG: P4/mmm

No. 2
KC2N3: optimized geometry, PBE.

Cell lengths 4.6759, 22.0636, 7.3561 Å; angles 90.00, 124.10, 90.00 degrees
Fractional coordinates of all 24 atoms:
K: 0.0965 0.1968 0.0457
K: 0.0965 0.3032 0.5457
K: 0.9035 0.6968 0.4543
K: 0.9035 0.8032 0.9543
C: 0.1242 0.6267 0.2003
C: 0.1242 0.8733 0.7003
C: 0.2327 0.6781 0.9349
C: 0.2327 0.8219 0.4349
C: 0.7673 0.1781 0.5651
C: 0.7673 0.3219 0.0651
C: 0.8758 0.1267 0.2997
C: 0.8758 0.3733 0.7997
N: 0.2260 0.6495 0.0989
N: 0.2260 0.8505 0.5989
N: 0.4131 0.7179 0.9309
N: 0.4131 0.7821 0.4309
N: 0.4613 0.5152 0.9294
N: 0.4613 0.9848 0.4294
N: 0.5387 0.0152 0.5706
N: 0.5387 0.4848 0.0706
N: 0.5869 0.2179 0.5691
N: 0.5869 0.2821 0.0691
N: 0.7740 0.1495 0.4011
N: 0.7740 0.3505 0.9011

Computed properties:
- Uncorrected formation energy: 0.4367 eV per atom
- Calculated total energy: -167.60 eV/cell
- SG: P2_1/c

No. 3
Te6P7: optimized geometry, PBE.

Cell lengths 9.5947, 9.5947, 9.5947 Å; angles 43.53, 43.53, 43.53 degrees
Fractional coordinates of all 13 atoms:
Te: 0.0604 0.0604 0.0604
Te: 0.1630 0.1630 0.1630
Te: 0.3286 0.3286 0.3286
Te: 0.6714 0.6714 0.6714
Te: 0.8370 0.8370 0.8370
Te: 0.9396 0.9396 0.9396
P: 0.2094 0.5244 0.5244
P: 0.4756 0.4756 0.7906
P: 0.4756 0.7906 0.4756
P: 0.5000 0.5000 0.5000
P: 0.5244 0.2094 0.5244
P: 0.5244 0.5244 0.2094
P: 0.7906 0.4756 0.4756

Computed properties:
- N(E_F): 8.08 states/eV per cell
- Uncorrected formation energy: 0.4644 eV per atom
- Calculated total energy: -50.68 eV/cell
- SG: R-3m

No. 4
Ca2CuSnIr: optimized geometry, PBE.

Cell lengths 5.8231, 5.8231, 4.6648 Å; angles 90.00, 90.00, 90.00 degrees
Fractional coordinates of all 5 atoms:
Ca: 0.0000 0.5000 0.0000
Ca: 0.5000 0.0000 0.0000
Cu: 0.0000 0.0000 0.5000
Sn: 0.0000 0.0000 0.0000
Ir: 0.5000 0.5000 0.5000

Computed properties:
- N(E_F): 4.82 states/eV per cell
- Calculated total energy: -17.30 eV/cell
- SG: P4/mmm